# GaTc8

A geometry-optimized GaTc8 structure (PBE, the Alexandria database). Values from VASP.

- Formation energy: -0.014 eV per atom
- M_tot: 0.00 μB per atom
- Density of states at the Fermi level: 0.756 states/eV per atom
- Calculated total energy: -86.077 eV/cell

```
&SYSTEM
  ibrav = 0, nat = 9, ntyp = 2
/
ATOMIC_SPECIES
Ga 69.72 Ga.upf
Tc 98.00 Tc.upf
CELL_PARAMETERS angstrom
-1.3928 4.1444 5.7315
1.3928 -4.1444 5.7315
1.3928 4.1444 -5.7315
ATOMIC_POSITIONS crystal
Ga 0.0000 0.0000 0.0000
Tc 0.0026 0.3290 0.6735
Tc 0.3320 0.3320 0.0000
Tc 0.3419 0.0000 0.3419
Tc 0.3445 0.6710 0.6735
Tc 0.6555 0.3290 0.3265
Tc 0.6581 0.0000 0.6581
Tc 0.6680 0.6680 0.0000
Tc 0.9974 0.6710 0.3265
```